Entry 1:
Material: Ac3Bi
Method: DFT, GGA-PBE
State: relaxed

Cell lengths 5.267, 5.267, 6.787 Å; angles 112.83, 112.83, 90.00 degrees
Fractional coordinates of all 4 atoms:
Ac (0.500, 0.500, 0.000)
Ac (0.250, 0.750, 0.500)
Bi (0.000, 0.000, 0.000)
Ac (0.750, 0.250, 0.500)

DFT formation energy   -320 meV per atom
Magnetization   0.00 μB/f.u.
Space group   No. 139

***

Entry 2:
Material: BaHoSb
Method: DFT, GGA-PBE
State: relaxed

Cell lengths 4.890, 4.890, 9.686 Å; angles 104.56, 104.56, 90.00 degrees
Each line ends with the local moment (μB).
Fractional coordinates of all 6 atoms:
Ba (0.325, 0.325, 0.648)  0.08
Ba (0.675, 0.675, 0.352)  0.08
Sb (0.883, 0.883, 0.765)  -0.01
Ho (0.500, 0.000, 0.000)  0.34
Ho (0.000, 0.500, 0.000)  0.34
Sb (0.117, 0.117, 0.235)  -0.01

Formation energy without anion corrections   -814 meV per atom
Magnetization   0.72 μB/f.u.
Space group   No. 12

***

Entry 3:
Material: Ga3Hg12Pb5
Method: DFT, GGA-PBE
State: relaxed

Cell lengths 14.881, 14.881, 14.881 Å; angles 109.47, 109.47, 109.47 degrees
Fractional coordinates of all 80 atoms:
Pb (0.625, 0.750, 0.875)
Hg (0.609, 0.866, 0.439)
Pb (0.500, 0.500, 0.000)
Ga (0.750, 0.375, 0.125)
Hg (0.757, 0.427, 0.366)
Hg (0.170, 0.109, 0.743)
Hg (0.439, 0.073, 0.330)
Hg (0.243, 0.573, 0.634)
Pb (0.375, 0.125, 0.750)
Ga (0.875, 0.125, 0.250)
Hg (0.439, 0.366, 0.609)
Hg (0.743, 0.134, 0.073)
Pb (0.375, 0.250, 0.125)
Hg (0.366, 0.927, 0.757)
Hg (0.743, 0.609, 0.170)
Hg (0.330, 0.573, 0.439)
Ga (0.375, 0.625, 0.250)
Hg (0.670, 0.427, 0.561)
Pb (0.250, 0.375, 0.625)
Hg (0.927, 0.561, 0.170)
Hg (0.330, 0.757, 0.391)
Pb (0.875, 0.250, 0.625)
Hg (0.670, 0.243, 0.609)
Hg (0.866, 0.257, 0.427)
Pb (0.875, 0.625, 0.750)
Hg (0.891, 0.061, 0.634)
Pb (0.000, 0.500, 0.000)
Ga (0.875, 0.750, 0.125)
Pb (0.625, 0.875, 0.250)
Hg (0.866, 0.609, 0.939)
Hg (0.134, 0.743, 0.573)
Hg (0.243, 0.670, 0.109)
Ga (0.375, 0.750, 0.625)
Hg (0.573, 0.330, 0.939)
Pb (0.750, 0.625, 0.375)
Ga (0.750, 0.875, 0.625)
Hg (0.634, 0.561, 0.891)
Hg (0.830, 0.891, 0.257)
Hg (0.257, 0.866, 0.927)
Pb (0.500, 0.000, 0.500)
Hg (0.927, 0.366, 0.257)
Hg (0.427, 0.757, 0.866)
Ga (0.250, 0.625, 0.875)
Hg (0.757, 0.330, 0.891)
Hg (0.561, 0.634, 0.391)
Pb (0.000, 0.500, 0.500)
Hg (0.391, 0.257, 0.330)
Hg (0.391, 0.134, 0.561)
Hg (0.609, 0.743, 0.670)
Ga (0.125, 0.250, 0.875)
Ga (0.625, 0.250, 0.375)
Ga (0.125, 0.875, 0.750)
Ga (0.625, 0.375, 0.750)
Pb (0.750, 0.125, 0.875)
Ga (0.250, 0.125, 0.375)
Pb (0.500, 0.500, 0.500)
Hg (0.061, 0.891, 0.134)
Hg (0.939, 0.109, 0.866)
Hg (0.073, 0.634, 0.743)
Pb (0.125, 0.750, 0.375)
Pb (0.000, 0.000, 0.000)
Pb (0.500, 0.000, 0.000)
Hg (0.073, 0.439, 0.830)
Hg (0.109, 0.170, 0.243)
Hg (0.891, 0.830, 0.757)
Hg (0.061, 0.170, 0.427)
Pb (0.000, 0.000, 0.500)
Hg (0.634, 0.073, 0.243)
Hg (0.257, 0.391, 0.830)
Hg (0.427, 0.670, 0.061)
Pb (0.250, 0.875, 0.125)
Pb (0.125, 0.375, 0.250)
Hg (0.109, 0.939, 0.366)
Hg (0.561, 0.927, 0.670)
Hg (0.170, 0.061, 0.927)
Hg (0.939, 0.830, 0.573)
Hg (0.366, 0.439, 0.109)
Hg (0.573, 0.243, 0.134)
Hg (0.830, 0.939, 0.073)
Hg (0.134, 0.391, 0.061)

DFT formation energy   186 meV per atom
Magnetization   0.00 μB/f.u.
Space group   No. 230

***

Entry 4:
Material: SrCuTc
Method: DFT, GGA-PBE
State: relaxed

Cell lengths 3.083, 3.083, 7.170 Å; angles 90.00, 90.00, 120.00 degrees
Fractional coordinates of all 3 atoms:
Sr (0.333, 0.667, 0.339)
Tc (0.667, 0.333, 0.698)
Cu (0.000, 0.000, 0.963)

DFT formation energy   1032 meV per atom
Magnetization   0.00 μB/f.u.
Space group   No. 156